DFT (PBE) results for a relaxed structure of Cs3PdO.

As for the density of states at the Fermi level: 2.809 states/eV per atom. The calculated volume comes out at 196.9 Å³ per cell. The value obtained for the energy relative to the elements, uncorrected is -0.3187 eV per atom. As for the polymorph energy (0 for the lowest one): 0 meV per atom. The value obtained for the total energy is -14.31 eV/f.u.

a = 5.8175 Å, b = 5.8175 Å, c = 5.8175 Å
α = 90.00°, β = 90.00°, γ = 90.00°
Last column: nearest neighbours and their distance in Å.
Space group Pm-3m (No. 221)
Symmetry-distinct sites (fractional):
Cs (0.0000, 0.0000, 0.5000) [3 per cell]  2 O 2.91
Pd (0.5000, 0.5000, 0.5000) [1 per cell]  12 Cs 4.11
O (0.0000, 0.0000, 0.0000) [1 per cell]  6 Cs 2.91

DFT (PBE) results for a relaxed structure of Co2SeCl2.

As for the density of states at the Fermi level: 0.853 states/eV per atom. The calculated volume comes out at 185.9 Å³ per cell. The value obtained for the energy relative to the elements, uncorrected is 0.3175 eV per atom. The value obtained for the total energy is -19.80 eV/f.u.

a = 4.2938 Å, b = 4.2938 Å, c = 10.0807 Å
α = 90.00°, β = 90.00°, γ = 90.00°
Last column: nearest neighbours and their distance in Å.
Space group I4/mmm (No. 139)
Symmetry-distinct sites (fractional):
Co (0.0000, 0.5000, 0.2500) [4 per cell]  4 Cl 2.35
Se (0.0000, 0.0000, 0.0000) [2 per cell]  8 Co 3.31, 10 Cl 3.41-3.49
Cl (0.0000, 0.0000, 0.3459) [4 per cell]  4 Co 2.35

DFT (PBE) results for a relaxed structure of Pr2Dy3Er6Zr.

For the energy relative to the elements, the calculation gives 0.055 eV per atom. As for the density of states at the Fermi level: 1.262 states/eV per atom. The calculated volume comes out at 738.0 Å³ per cell. The value obtained for the total energy is -58.63 eV/f.u.

a = 6.1017 Å, b = 10.5550 Å, c = 11.6365 Å
α = 90.00°, β = 100.01°, γ = 90.00°
Last column: nearest neighbours and their distance in Å.
Space group C2/m (No. 12)
Symmetry-distinct sites (fractional):
Pr (0.0000, 0.1668, 0.0000) [4 per cell]  6 Er 3.51, 3 Zr 3.52, 3 Pr 3.52
Dy (0.0000, 0.0000, 0.5000) [2 per cell]  6 Er 3.52-3.56, 6 Dy 3.52
Dy (0.0000, 0.3337, 0.5000) [4 per cell]  6 Dy 3.51-3.53, 6 Er 3.52-3.56
Er (0.2431, 0.5000, 0.7520) [4 per cell]  6 Er 3.44-3.56, 1 Zr 3.47, 2 Pr 3.51, 3 Dy 3.52-3.56
Er (0.2460, 0.3369, 0.2483) [8 per cell]  6 Er 3.44-3.56, 1 Zr 3.47, 2 Pr 3.51, 3 Dy 3.52-3.56
Zr (0.0000, 0.5000, 0.0000) [2 per cell]  6 Er 3.47, 6 Pr 3.52